Record 1
VASP calculation (PBE) on an optimized crystal structure of Tl4NiSe.

Cell and atoms, written as extended XYZ:
```
6
Lattice="0.000 4.455 4.455 4.455 0.000 4.455 4.455 4.455 0.000" Properties=species:S:1:pos:R:3 pbc="T T T"
Tl 1.115 1.115 1.115
Tl 3.340 3.340 1.115
Tl 3.340 1.115 3.340
Tl 1.115 3.340 3.340
Ni 6.682 6.682 6.682
Se 4.455 4.455 4.455
```

Output
ΔE_f (raw) = 0.57 eV per atom

---

Record 2
VASP calculation (PBE) on an optimized crystal structure of Sc2Ag2Pb.

Cell and atoms, written as extended XYZ:
```
5
Lattice="-1.911 1.911 7.980 1.911 -1.911 7.980 1.911 1.911 -7.980" Properties=species:S:1:pos:R:3 pbc="T T T"
Sc 0.000 0.000 1.682
Sc 0.000 0.000 14.277
Ag 1.911 0.000 3.990
Ag 0.000 1.911 3.990
Pb 0.000 0.000 7.980
```

Output
formation energy = -20 meV/atom

---

Repeat the first record exactly.
VASP calculation (PBE) on an optimized crystal structure of Tl4NiSe.

Cell and atoms, written as extended XYZ:
```
6
Lattice="0.000 4.455 4.455 4.455 0.000 4.455 4.455 4.455 0.000" Properties=species:S:1:pos:R:3 pbc="T T T"
Tl 1.115 1.115 1.115
Tl 3.340 3.340 1.115
Tl 3.340 1.115 3.340
Tl 1.115 3.340 3.340
Ni 6.682 6.682 6.682
Se 4.455 4.455 4.455
```

Output
ΔE_f (raw) = 0.57 eV per atom

---

Please write out number 2 again, unchanged.
VASP calculation (PBE) on an optimized crystal structure of Sc2Ag2Pb.

Cell and atoms, written as extended XYZ:
```
5
Lattice="-1.911 1.911 7.980 1.911 -1.911 7.980 1.911 1.911 -7.980" Properties=species:S:1:pos:R:3 pbc="T T T"
Sc 0.000 0.000 1.682
Sc 0.000 0.000 14.277
Ag 1.911 0.000 3.990
Ag 0.000 1.911 3.990
Pb 0.000 0.000 7.980
```

Output
formation energy = -20 meV/atom